{
  "formula": "CsLaPPt2",
  "functional": "GGA-PBE",
  "state": "relaxed",
  "lattice_angstrom": [[5.3378, 0.0000, 0.0000], [0.0000, 9.2247, 0.0000], [0.0000, 0.0000, 5.3378]],
  "species": ["Cs", "P", "Pt", "Pt", "La"],
  "frac_coords": [[0.0000, 0.5000, 0.0000], [0.5000, 0.5000, 0.5000], [0.0000, 0.0000, 0.5000], [0.5000, 0.0000, 0.0000], [0.0000, 0.0000, 0.0000]],
  "polymorph_energy_kj_per_mol_atoms": 0.0,
  "dos_ef_per_ev_cell": 7.12,
  "density_g_cm3": 4.378,
  "e_form_ev_per_fu": 3.82,
  "final_energy_ev_per_cell": -19.45,
  "total_magnetization_mub_per_fu": 2.2
}